Entry from Alexandria via LeMat-Bulk: a geometry-optimized MoAu structure (PBE).

Summary:
E_form = 0.314 eV/atom

Cell and atoms, written as CIF:
```
data_MoAu
_chemical_formula_sum 'Mo2 Au2'
_cell_length_a 3.065
_cell_length_b 4.375
_cell_length_c 5.023
_cell_angle_alpha 90.00
_cell_angle_beta 90.00
_cell_angle_gamma 90.00
_symmetry_space_group_name_H-M 'P m m n'
_symmetry_Int_Tables_number 59
loop_
_symmetry_equiv_pos_as_xyz
'x,y,z'
'-x,-y,-z'
'-x+1/2,-y+1/2,z'
'x+1/2,y+1/2,-z'
'x+1/2,-y,-z'
'-x+1/2,y,z'
'-x,y+1/2,-z'
'x,-y+1/2,z'
loop_
_atom_site_label
_atom_site_type_symbol
_atom_site_fract_x
_atom_site_fract_y
_atom_site_fract_z
_atom_site_occupancy
Mo1 Mo 0.250 0.250 0.050 1
Au1 Au 0.250 0.750 0.422 1
```